! GGA-PBE UBeAuO6, relaxed; values from VASP
! **Space group**: P1 (1)
! **ΔE_f (raw)**: -1.747 eV per atom
! **Density of states at the Fermi level**: 6.50 states/eV/cell
! **Calculated volume**: 122 Å³ per cell
&SYSTEM
  ibrav = 0, nat = 9, ntyp = 4
/
ATOMIC_SPECIES
U 238.03 U.upf
Be 9.01 Be.upf
Au 196.97 Au.upf
O 16.00 O.upf
CELL_PARAMETERS angstrom
5.6521 0.8184 0.4772
3.6702 4.9960 0.7268
0.5102 0.4601 4.8966
ATOMIC_POSITIONS crystal
U 0.6656 0.6697 0.4906
Be 0.4227 0.3683 0.5057
Au 0.9682 0.9978 0.0389
O 0.9133 0.5099 0.1720
O 0.3469 0.8961 0.7865
O 0.6817 0.2921 0.7095
O 0.0841 0.4758 0.6467
O 0.3057 0.6988 0.3306
O 0.6115 0.0915 0.3194



! GGA-PBE Mg2As3, relaxed; values from VASP
! **Space group**: Fdd2 (43)
! **Density of states at the Fermi level**: 3.73 states/eV/cell
! **Calculated volume**: 204 Å³ per cell
! **Formation energy**: -238 meV/atom
&SYSTEM
  ibrav = 0, nat = 10, ntyp = 2
/
ATOMIC_SPECIES
Mg 24.30 Mg.upf
As 74.92 As.upf
CELL_PARAMETERS angstrom
0.0000 4.5591 7.5989
2.9436 0.0000 7.5989
2.9436 4.5591 0.0000
ATOMIC_POSITIONS crystal
Mg 0.8718 0.2169 0.5943
Mg 0.3170 0.5943 0.2169
Mg 0.0331 0.3782 0.9330
Mg 0.6557 0.9330 0.3782
As 0.4566 0.8052 0.2690
As 0.4692 0.2690 0.8052
As 0.4448 0.7934 0.7808
As 0.9810 0.7808 0.7934
As 0.8855 0.1145 0.1145
As 0.1355 0.3645 0.3645



! GGA-PBE Sc2TeP, relaxed; values from VASP
! **Space group**: F-43m (216)
! **ΔE_f (raw)**: -0.206 eV per atom
! **Density of states at the Fermi level**: 2.75 states/eV/cell
! **Calculated volume**: 82 Å³ per cell
&SYSTEM
  ibrav = 0, nat = 4, ntyp = 3
/
ATOMIC_SPECIES
Sc 44.96 Sc.upf
Te 127.60 Te.upf
P 30.97 P.upf
CELL_PARAMETERS angstrom
0.0000 3.4513 3.4513
3.4513 0.0000 3.4513
3.4513 3.4513 0.0000
ATOMIC_POSITIONS crystal
Sc 0.0000 0.0000 0.0000
Sc 0.7500 0.7500 0.7500
Te 0.2500 0.2500 0.2500
P 0.5000 0.5000 0.5000



! GGA-PBE TlCuIr2, relaxed; values from VASP
! **Space group**: P4mm (99)
! **Density of states at the Fermi level**: 4.20 states/eV/cell
! **Calculated volume**: 67 Å³ per cell
! **Formation energy**: 395 meV/atom
&SYSTEM
  ibrav = 0, nat = 4, ntyp = 3
/
ATOMIC_SPECIES
Cu 63.55 Cu.upf
Ir 192.22 Ir.upf
Tl 204.38 Tl.upf
CELL_PARAMETERS angstrom
-1.0556 -1.2652 2.3299
-1.1146 -2.0637 -1.6256
6.9706 -4.3792 0.7800
ATOMIC_POSITIONS crystal
Cu 0.5000 0.5000 0.7889
Ir 0.0000 0.0000 0.0001
Ir 0.5000 0.5000 0.2105
Tl 0.0000 0.0000 0.5006



! GGA-PBE Li3NpBi3S8, relaxed; values from VASP
! **Space group**: R-3m (166)
! **ΔE_f (raw)**: -0.837 eV per atom
! **Density of states at the Fermi level**: 5.23 states/eV/cell
! **Calculated volume**: 350 Å³ per cell
&SYSTEM
  ibrav = 0, nat = 15, ntyp = 4
/
ATOMIC_SPECIES
Li 6.94 Li.upf
Np 237.00 Np.upf
Bi 208.98 Bi.upf
S 32.06 S.upf
CELL_PARAMETERS angstrom
8.0262 0.0000 0.0000
-4.0131 6.9495 -0.0252
0.0000 -4.6148 6.2830
ATOMIC_POSITIONS crystal
Li 0.0000 0.0000 0.0000
Li 0.0000 0.5000 0.0000
Li 0.5000 0.5000 0.0000
Np 0.0000 0.0000 0.5000
Bi 0.5000 0.0000 0.5000
Bi 0.5000 0.5000 0.5000
Bi 0.0000 0.5000 0.5000
S 0.2456 0.4911 0.2370
S 0.7544 0.5089 0.7630
S 0.7592 0.5183 0.2522
S 0.2408 0.4817 0.7478
S 0.7591 0.9928 0.2522
S 0.2409 0.0072 0.7478
S 0.2336 0.9928 0.2522
S 0.7664 0.0072 0.7478



! GGA-PBE Tb3Pr5Hg2, relaxed; values from VASP
! **Space group**: Ibam (72)
! **Density of states at the Fermi level**: 31.26 states/eV/cell
! **Calculated volume**: 675 Å³ per cell
! **Formation energy**: 49 meV/atom
&SYSTEM
  ibrav = 0, nat = 20, ntyp = 3
/
ATOMIC_SPECIES
Tb 158.93 Tb.upf
Pr 140.91 Pr.upf
Hg 200.59 Hg.upf
CELL_PARAMETERS angstrom
6.9544 0.0000 0.0000
3.4772 10.1227 0.3137
3.4772 2.9887 9.6765
ATOMIC_POSITIONS crystal
Tb 0.2500 0.0000 0.0000
Tb 0.7500 0.0000 0.0000
Tb 0.3252 0.3976 0.9519
Tb 0.6748 0.6024 0.0481
Tb 0.8252 0.9519 0.3976
Tb 0.1748 0.0481 0.6024
Pr 0.2500 0.5000 0.5000
Pr 0.7500 0.5000 0.5000
Pr 0.5556 0.6944 0.6944
Pr 0.9444 0.3056 0.3056
Pr 0.4444 0.3056 0.3056
Pr 0.0556 0.6944 0.6944
Pr 0.0595 0.6712 0.2097
Pr 0.9405 0.3288 0.7903
Pr 0.5595 0.2097 0.6712
Pr 0.4405 0.7903 0.3288
Hg 0.1539 0.7982 0.8940
Hg 0.8461 0.2018 0.1060
Hg 0.6539 0.8940 0.7982
Hg 0.3461 0.1060 0.2018



! GGA-PBE YTmSn, relaxed; values from VASP
! **Space group**: I4/mmm (139)
! **Density of states at the Fermi level**: 7.43 states/eV/cell
! **Calculated volume**: 171 Å³ per cell
! **Formation energy**: -611 meV/atom
&SYSTEM
  ibrav = 0, nat = 6, ntyp = 3
/
ATOMIC_SPECIES
Y 88.91 Y.upf
Tm 168.93 Tm.upf
Sn 118.71 Sn.upf
CELL_PARAMETERS angstrom
4.4539 0.0000 -0.9288
-0.1937 4.4497 -0.9288
-0.4779 -0.4992 8.8517
ATOMIC_POSITIONS crystal
Y 0.1754 0.1754 0.3508
Y 0.8246 0.8246 0.6492
Tm 0.0000 0.5000 0.0000
Tm 0.5000 0.0000 0.0000
Sn 0.3644 0.3644 0.7289
Sn 0.6356 0.6356 0.2711



! GGA-PBE LiNF5, relaxed; values from VASP
! **Space group**: P-1 (2)
! **ΔE_f (raw)**: -1.034 eV per atom
! **Calculated volume**: 217 Å³ per cell
&SYSTEM
  ibrav = 0, nat = 14, ntyp = 3
/
ATOMIC_SPECIES
Li 6.94 Li.upf
N 14.01 N.upf
F 19.00 F.upf
CELL_PARAMETERS angstrom
0.4654 4.9009 -3.5459
3.4504 -3.8875 -3.4504
-6.0828 -2.0708 -0.4195
ATOMIC_POSITIONS crystal
Li 0.5000 0.0000 0.0000
Li 0.5000 0.0000 0.5000
N 0.8894 0.7304 0.2833
N 0.1106 0.2696 0.7167
F 0.7347 0.7038 0.0579
F 0.3783 0.8418 0.6723
F 0.3213 0.9106 0.1757
F 0.7232 0.6913 0.3933
F 0.2768 0.3087 0.6067
F 0.9595 0.5235 0.2415
F 0.0405 0.4765 0.7585
F 0.6787 0.0894 0.8243
F 0.6217 0.1582 0.3277
F 0.2653 0.2962 0.9421



! GGA-PBE BaLiAl2, relaxed; values from VASP
! **Space group**: Pm (6)
! **Density of states at the Fermi level**: 2.18 states/eV/cell
! **Calculated volume**: 106 Å³ per cell
! **Formation energy**: -31 meV/atom
&SYSTEM
  ibrav = 0, nat = 4, ntyp = 3
/
ATOMIC_SPECIES
Al 26.98 Al.upf
Ba 137.33 Ba.upf
Li 6.94 Li.upf
CELL_PARAMETERS angstrom
-2.0602 1.2186 3.9059
-2.4894 -2.2204 -0.6203
2.7296 -5.4747 3.1478
ATOMIC_POSITIONS crystal
Al 0.0000 0.1451 0.9787
Al 0.5000 0.1118 0.1912
Ba 0.0000 0.5252 0.4656
Li 0.5000 0.7179 0.8646



! GGA-PBE BaIN2O, relaxed; values from VASP
! **Space group**: P4/mmm (123)
! **ΔE_f (raw)**: 1.354 eV per atom
! **Density of states at the Fermi level**: 5.99 states/eV/cell
! **Calculated volume**: 151 Å³ per cell
&SYSTEM
  ibrav = 0, nat = 5, ntyp = 4
/
ATOMIC_SPECIES
I 126.90 I.upf
Ba 137.33 Ba.upf
O 16.00 O.upf
N 14.01 N.upf
CELL_PARAMETERS angstrom
5.5763 0.0000 0.0000
0.0000 5.5763 0.0000
0.0000 0.0000 4.8512
ATOMIC_POSITIONS crystal
I 0.5000 0.5000 0.5000
Ba 0.0000 0.0000 0.0000
O 0.0000 0.0000 0.5000
N 0.0000 0.5000 0.0000
N 0.5000 0.0000 0.0000



! GGA-PBE Cs2KReCl6, relaxed; values from VASP
! **Space group**: Fm-3m (225)
! **ΔE_f (raw)**: -1.357 eV per atom
! **Density of states at the Fermi level**: 13.99 states/eV/cell
! **Calculated volume**: 643 Å³ per cell
&SYSTEM
  ibrav = 0, nat = 20, ntyp = 4
/
ATOMIC_SPECIES
Cs 132.91 Cs.upf
K 39.10 K.upf
Re 186.21 Re.upf
Cl 35.45 Cl.upf
CELL_PARAMETERS angstrom
-6.7357 3.4543 -1.3470
0.9213 -1.1463 -7.5468
-5.0782 -9.5769 0.8347
ATOMIC_POSITIONS crystal
Cs 0.5000 0.7495 0.2500
Cs 0.0000 0.2505 0.7500
Cs 0.5000 0.7495 0.7500
Cs 0.0000 0.2505 0.2500
K 0.0000 0.7499 0.5000
K 0.5000 0.2501 0.0000
Re 0.5000 0.2497 0.5000
Re 0.0000 0.7503 0.0000
Cl 0.5000 0.2497 0.2780
Cl 0.5000 0.2497 0.7220
Cl 0.0000 0.7503 0.2220
Cl 0.0000 0.7503 0.7780
Cl 0.2781 0.0278 0.5000
Cl 0.7219 0.0278 0.5000
Cl 0.2780 0.4717 0.5000
Cl 0.7220 0.4717 0.5000
Cl 0.7780 0.5283 0.0000
Cl 0.2220 0.5283 0.0000
Cl 0.2219 0.9722 0.0000
Cl 0.7781 0.9722 0.0000



! GGA-PBE FeAu2Se, relaxed; values from VASP
! **Space group**: C2/m (12)
! **ΔE_f (raw)**: 0.293 eV per atom
! **Density of states at the Fermi level**: 3.11 states/eV/cell
! **Calculated volume**: 75 Å³ per cell
&SYSTEM
  ibrav = 0, nat = 4, ntyp = 3
/
ATOMIC_SPECIES
Au 196.97 Au.upf
Fe 55.84 Fe.upf
Se 78.96 Se.upf
CELL_PARAMETERS angstrom
5.7664 0.0027 0.1060
-3.1807 4.8099 0.1060
1.1571 2.1535 2.7964
ATOMIC_POSITIONS crystal
Au 0.0000 0.0000 0.0000
Au 0.5000 0.5000 0.0000
Fe 0.5000 0.0000 0.5000
Se 0.0000 0.5000 0.5000



! GGA-PBE Sc2Tc2Ge2C, relaxed; values from VASP
! **Space group**: I4/mmm (139)
! **Density of states at the Fermi level**: 6.65 states/eV/cell
! **Calculated volume**: 115 Å³ per cell
! **Formation energy**: -500 meV/atom
&SYSTEM
  ibrav = 0, nat = 7, ntyp = 4
/
ATOMIC_SPECIES
Sc 44.96 Sc.upf
Tc 98.00 Tc.upf
Ge 72.64 Ge.upf
C 12.01 C.upf
CELL_PARAMETERS angstrom
4.0824 0.0000 0.0000
0.0000 4.0824 0.0000
-2.0412 -2.0412 6.8728
ATOMIC_POSITIONS crystal
Sc 0.1653 0.1653 0.3306
Sc 0.8347 0.8347 0.6694
Tc 0.0000 0.5000 0.0000
Tc 0.5000 0.0000 0.0000
Ge 0.3716 0.3716 0.7431
Ge 0.6284 0.6284 0.2569
C 0.0000 0.0000 0.0000



! GGA-PBE SrRe2SBr, relaxed; values from VASP
! **Space group**: P4/mmm (123)
! **ΔE_f (raw)**: 2.598 eV per atom
! **Density of states at the Fermi level**: 7.82 states/eV/cell
! **Calculated volume**: 227 Å³ per cell
&SYSTEM
  ibrav = 0, nat = 5, ntyp = 4
/
ATOMIC_SPECIES
Re 186.21 Re.upf
S 32.06 S.upf
Br 79.90 Br.upf
Sr 87.62 Sr.upf
CELL_PARAMETERS angstrom
-4.1745 4.2039 2.3256
-4.0392 -2.2595 -3.1661
-1.4365 -4.0322 4.7102
ATOMIC_POSITIONS crystal
Re 0.0000 0.0000 0.5000
Re 0.5000 0.0000 0.0000
S 0.5000 0.5000 0.5000
Br 0.0000 0.5000 0.0000
Sr 0.0000 0.0000 0.0000



! GGA-PBE BaBi2PdPb, relaxed; values from VASP
! **Space group**: P4/mmm (123)
! **Density of states at the Fermi level**: 4.04 states/eV/cell
! **Calculated volume**: 170 Å³ per cell
! **Formation energy**: -292 meV/atom
&SYSTEM
  ibrav = 0, nat = 5, ntyp = 4
/
ATOMIC_SPECIES
Pb 207.20 Pb.upf
Bi 208.98 Bi.upf
Pd 106.42 Pd.upf
Ba 137.33 Ba.upf
CELL_PARAMETERS angstrom
-3.1139 -3.7408 -2.8270
2.4680 -4.1931 2.8300
-3.8043 0.3111 3.7788
ATOMIC_POSITIONS crystal
Pb 0.0000 0.0000 0.5000
Bi 0.0000 0.5000 0.0000
Bi 0.5000 0.0000 0.0000
Pd 0.0000 0.0000 0.0000
Ba 0.5000 0.5000 0.5000



! GGA-PBE KN2F7, relaxed; values from VASP
! **Space group**: P1 (1)
! **ΔE_f (raw)**: -0.851 eV per atom
! **Density of states at the Fermi level**: 0.00 states/eV/cell
! **Calculated volume**: 195 Å³ per cell
&SYSTEM
  ibrav = 0, nat = 10, ntyp = 3
/
ATOMIC_SPECIES
K 39.10 K.upf
N 14.01 N.upf
F 19.00 F.upf
CELL_PARAMETERS angstrom
4.2868 -0.0328 0.0738
-0.0689 6.9073 -0.8318
0.1005 0.1946 6.5742
ATOMIC_POSITIONS crystal
K 0.0173 0.1688 0.8163
N 0.5435 0.1897 0.3322
N 0.4644 0.6845 0.7263
F 0.8590 0.2373 0.3695
F 0.2938 0.6747 0.5494
F 0.5635 0.0005 0.2446
F 0.5203 0.0499 0.6883
F 0.2307 0.7262 0.8796
F 0.5047 0.2922 0.1474
F 0.5026 0.4761 0.7466



! GGA-PBE HoMgPd2, relaxed; values from VASP
! **Space group**: P4/mmm (123)
! **Density of states at the Fermi level**: 1.82 states/eV/cell
! **Calculated volume**: 76 Å³ per cell
! **Formation energy**: -785 meV/atom
&SYSTEM
  ibrav = 0, nat = 4, ntyp = 3
/
ATOMIC_SPECIES
Mg 24.30 Mg.upf
Ho 164.93 Ho.upf
Pd 106.42 Pd.upf
CELL_PARAMETERS angstrom
-2.8205 -1.0910 -1.3716
-0.3392 -3.3627 3.3720
-2.4969 3.0042 2.7447
ATOMIC_POSITIONS crystal
Mg 0.5000 0.0000 0.0000
Ho 0.5000 0.5000 0.5000
Pd 0.0000 0.0000 0.5000
Pd 0.0000 0.5000 0.0000



! GGA-PBE K2TbRuO4, relaxed; values from VASP
! **Space group**: P2/m (10)
! **ΔE_f (raw)**: -1.822 eV per atom
! **Density of states at the Fermi level**: 3.48 states/eV/cell
! **Calculated volume**: 117 Å³ per cell
&SYSTEM
  ibrav = 0, nat = 8, ntyp = 4
/
ATOMIC_SPECIES
K 39.10 K.upf
Tb 158.93 Tb.upf
Ru 101.07 Ru.upf
O 16.00 O.upf
CELL_PARAMETERS angstrom
-1.5157 1.6820 2.5591
-4.6081 0.5759 -3.1077
-0.4939 -5.5225 3.3371
ATOMIC_POSITIONS crystal
K 0.5000 0.0000 0.5000
K 0.0000 0.5000 0.5000
Tb 0.5000 0.5000 0.0000
Ru 0.0000 0.0000 0.0000
O 0.5000 0.2001 0.1751
O 0.5000 0.7999 0.8249
O 0.0000 0.2556 0.8078
O 0.0000 0.7444 0.1922



! GGA-PBE Li12YCd6, relaxed; values from VASP
! **Space group**: R-3m (166)
! **Density of states at the Fermi level**: 9.90 states/eV/cell
! **Calculated volume**: 399 Å³ per cell
! **Formation energy**: -60 meV/atom
&SYSTEM
  ibrav = 0, nat = 19, ntyp = 3
/
ATOMIC_SPECIES
Li 6.94 Li.upf
Y 88.91 Y.upf
Cd 112.41 Cd.upf
CELL_PARAMETERS angstrom
-3.0609 -5.5582 -4.0510
-0.6378 -2.7565 6.9763
-5.5498 5.0861 -0.0727
ATOMIC_POSITIONS crystal
Li 0.8939 0.1061 0.5000
Li 0.8400 0.5676 0.5676
Li 0.5676 0.5676 0.8400
Li 0.4324 0.1600 0.4324
Li 0.4324 0.4324 0.1600
Li 0.1600 0.4324 0.4324
Li 0.1061 0.5000 0.8939
Li 0.5000 0.8939 0.1061
Li 0.1061 0.8939 0.5000
Li 0.8939 0.5000 0.1061
Li 0.5000 0.1061 0.8939
Li 0.5676 0.8400 0.5676
Y 0.0000 0.0000 0.0000
Cd 0.7377 0.2402 0.2402
Cd 0.2402 0.2402 0.7377
Cd 0.2402 0.7377 0.2402
Cd 0.7598 0.7598 0.2623
Cd 0.2623 0.7598 0.7598
Cd 0.7598 0.2623 0.7598



! GGA-PBE SrHoAgS3, relaxed; values from VASP
! **Space group**: P2_1/m (11)
! **ΔE_f (raw)**: -1.598 eV per atom
! **Calculated volume**: 286 Å³ per cell
&SYSTEM
  ibrav = 0, nat = 12, ntyp = 4
/
ATOMIC_SPECIES
Sr 87.62 Sr.upf
Ho 164.93 Ho.upf
Ag 107.87 Ag.upf
S 32.06 S.upf
CELL_PARAMETERS angstrom
-1.8438 -0.5897 3.5321
-0.3395 -8.0397 -1.5195
7.7820 1.1193 4.2492
ATOMIC_POSITIONS crystal
Sr 0.2500 0.1995 0.2389
Sr 0.7500 0.8005 0.7611
Ho 0.2500 0.6738 0.1638
Ho 0.7500 0.3262 0.8362
Ag 0.2500 0.0978 0.5888
Ag 0.7500 0.9022 0.4112
S 0.7500 0.8955 0.1276
S 0.2500 0.1045 0.8724
S 0.2500 0.7421 0.4837
S 0.7500 0.2579 0.5163
S 0.7500 0.4403 0.1530
S 0.2500 0.5597 0.8470